A plane-wave DFT calculation with PBE-GGA was carried out for a relaxed SmDy2MgHg4 crystal.

```
SmDy2MgHg4
1.0
2.578 1.489 8.700
-2.578 1.489 8.700
0.000 -2.977 8.700
Sm Dy Mg Hg
1 2 1 4
Direct
0.000 0.000 0.000 Sm
0.244 0.244 0.244 Dy
0.756 0.756 0.756 Dy
0.500 0.500 0.500 Mg
0.126 0.126 0.126 Hg
0.377 0.377 0.377 Hg
0.623 0.623 0.623 Hg
0.874 0.874 0.874 Hg
```

Summary:
**ρ**: 10.791 g/cm³
**Total magnetic moment**: 0.000 μB/atom
**Energy of formation**: -349 kJ/mol of formula units
**Total DFT energy (no corrections)**: -20.347 eV/cell